VASP calculation (GGA-PBE) on a relaxed structure of Ce2AlNi6Ge.

The structure belongs to space group C2/m (No. 12); the cell edges are 11.2083, 4.9511 and 8.0941 Å and the angles 90.00°, 133.56° and 90.00°. Symmetry generates all atoms from Ce at (0.0423, 0.0000, 0.2864), Al at (0.0000, 0.5000, 0.5000), Ni at (0.1700, 0.5000, 0.9181), Ni at (0.2494, 0.2481, 0.7523) and Ge at (0.0000, 0.5000, 0.0000).

The density of states at the Fermi level is 12.72 states/eV/f.u. The energy relative to the elements is -385 meV per atom.